# 1
PBE-GGA Pr2I5, optimized geometry; crystal system = monoclinic; formation energy (no corrections) = -1.39 eV/atom; total magnetic moment = 1.0 μB per formula unit; E = -54.124 eV/cell
1.0
4.356 0.000 0.000
0.000 9.436 0.010
0.000 1.241 14.964
I Pr
10 4
direct
0.250 0.867 0.928
0.250 0.350 0.875
0.750 0.320 0.515
0.750 0.933 0.307
0.250 0.067 0.693
0.750 0.635 0.714
0.250 0.680 0.485
0.750 0.133 0.072
0.250 0.365 0.286
0.750 0.650 0.125
0.250 0.895 0.150
0.750 0.585 0.342
0.750 0.105 0.850
0.250 0.415 0.658

# 2
PBE-GGA Li3Cu, optimized geometry; crystal system = orthorhombic; energy of formation from the pure elements = 0.005 eV per atom; total magnetic moment = 0.0 μB per formula unit; E = -9.818 eV/cell
1.0
2.695 0.000 0.000
0.000 3.909 0.000
0.000 0.000 5.785
Li Cu
3 1
direct
0.500 0.500 0.779
0.500 0.500 0.221
0.000 0.000 0.500
0.000 0.000 0.000

# 3
PBE-GGA NaSr3Cd8, optimized geometry; crystal system = trigonal; energy of formation from the pure elements = -0.263 eV per atom; total magnetic moment = 0.0 μB per formula unit; E = -16.838 eV/cell
1.0
-0.692 -2.752 -5.440
4.247 -3.951 -2.002
-3.817 -9.897 2.031
Cd Sr Na
8 3 1
direct
0.438 0.938 0.686
0.938 0.437 0.188
0.437 0.437 0.188
0.437 0.938 0.188
0.938 0.438 0.686
0.687 0.687 0.939
0.938 0.938 0.686
0.188 0.188 0.435
0.503 0.503 0.491
0.377 0.377 0.870
0.996 0.996 0.011
0.874 0.874 0.379

# 4
PBE-GGA LaPr5Rh4, optimized geometry; crystal system = monoclinic; energy of formation from the pure elements = -0.522 eV per atom; total magnetic moment = 0.0 μB per formula unit; E = -63.451 eV/cell
1.0
4.286 0.000 0.000
0.000 7.867 -0.726
-2.143 -1.872 8.793
Pr Rh La
5 4 1
direct
0.833 0.641 0.666
0.167 0.359 0.334
0.165 0.867 0.330
0.500 0.500 0.000
0.835 0.133 0.670
0.998 0.740 0.996
0.676 0.130 0.352
0.002 0.260 0.004
0.324 0.870 0.648
0.500 0.000 0.000

# 5
PBE-GGA Li2CaAs, optimized geometry; crystal system = tetragonal; energy of formation from the pure elements = -0.542 eV per atom; total magnetic moment = 0.7 μB per formula unit; E = -12.645 eV/cell
1.0
-0.297 -0.648 4.187
0.959 -4.097 -0.566
4.497 0.987 0.472
Li As Ca
2 1 1
direct
0.000 0.000 0.000
0.500 0.500 0.000
0.500 0.000 0.500
0.000 0.500 0.500

# 6
PBE-GGA MgAl2W, optimized geometry; crystal system = trigonal; energy of formation from the pure elements = 0.100 eV per atom; total magnetic moment = 0.0 μB per formula unit; E = -21.631 eV/cell
1.0
9.355 -0.005 -0.003
8.898 2.887 -0.003
8.898 1.405 2.522
Al Mg W
2 1 1
direct
0.496 0.496 0.496
0.004 0.004 0.004
0.250 0.250 0.250
0.750 0.750 0.750

# 7
PBE-GGA Tb7Y3Th, optimized geometry; crystal system = monoclinic; energy of formation from the pure elements = 0.155 eV per atom; total magnetic moment = 0.0 μB per formula unit; E = -115.043 eV/cell
1.0
9.450 -2.617 1.253
-5.711 7.970 1.253
1.517 2.172 13.018
Y Tb Th
6 14 2
direct
0.000 0.000 0.000
0.501 0.000 0.250
0.000 0.000 0.500
0.499 0.000 0.750
0.000 0.499 0.750
0.000 0.501 0.250
0.559 0.882 0.027
0.882 0.559 0.528
0.882 0.559 0.027
0.086 0.912 0.750
0.914 0.088 0.250
0.441 0.118 0.973
0.501 0.501 0.250
0.559 0.882 0.528
0.441 0.118 0.472
0.118 0.441 0.472
0.912 0.086 0.750
0.088 0.914 0.250
0.499 0.499 0.750
0.118 0.441 0.973
0.500 0.500 0.500
0.500 0.500 0.000

# 8
PBE-GGA CdCoSn, optimized geometry; crystal system = cubic; energy of formation from the pure elements = 0.116 eV per atom; total magnetic moment = 0.1 μB per formula unit; E = -11.677 eV/cell
1.0
4.364 0.000 0.000
2.182 3.779 0.000
2.182 1.260 3.563
Sn Co Cd
1 1 1
direct
0.500 0.500 0.500
0.250 0.250 0.250
0.000 0.000 0.000

# 9
PBE-GGA GaSb2PIr, optimized geometry; crystal system = tetragonal; formation energy (no corrections) = 0.94 eV/atom; total magnetic moment = 0.0 μB per formula unit; E = -20.866 eV/cell
1.0
-4.960 -0.883 -0.164
0.677 -4.099 1.592
-0.468 1.750 4.703
Ga Sb Ir P
1 2 1 1
direct
0.000 0.500 0.000
0.000 0.000 0.500
0.500 0.000 0.000
0.500 0.500 0.500
0.000 0.000 0.000

# 10
PBE-GGA Li3PdAu4, optimized geometry; crystal system = orthorhombic; energy of formation from the pure elements = -0.444 eV per atom; total magnetic moment = 0.0 μB per formula unit; E = -55.191 eV/cell
1.0
4.899 0.000 0.000
0.000 5.634 0.000
0.000 0.000 9.275
Li Au Pd
6 8 2
direct
0.357 0.000 0.250
0.000 0.000 0.500
0.000 0.000 0.000
0.643 0.000 0.750
0.340 0.500 0.250
0.660 0.500 0.750
0.500 0.754 0.000
0.500 0.754 0.500
0.149 0.248 0.750
0.149 0.752 0.750
0.851 0.752 0.250
0.851 0.248 0.250
0.500 0.246 0.000
0.500 0.246 0.500
0.000 0.500 0.000
0.000 0.500 0.500

# 11
PBE-GGA Na3Te3Au, optimized geometry; crystal system = monoclinic; formation energy (no corrections) = -0.53 eV/atom; total magnetic moment = 0.0 μB per formula unit; E = -40.677 eV/cell
1.0
8.300 0.133 -0.469
-3.578 7.490 -0.469
-1.115 -1.800 7.425
Na Au Te
6 2 6
direct
0.812 0.188 0.000
0.601 0.601 0.313
0.130 0.870 0.500
0.870 0.130 0.500
0.188 0.812 0.000
0.399 0.399 0.687
0.814 0.814 0.739
0.186 0.186 0.261
0.216 0.546 0.313
0.857 0.857 0.150
0.784 0.454 0.687
0.546 0.216 0.313
0.143 0.143 0.850
0.454 0.784 0.687

# 12
PBE-GGA Y2TiRh2, optimized geometry; crystal system = tetragonal; energy of formation from the pure elements = -0.626 eV per atom; total magnetic moment = 0.0 μB per formula unit; E = -77.317 eV/cell
1.0
6.835 0.000 0.000
0.000 6.835 0.000
0.000 0.000 4.448
Rh Ti Y
4 2 4
direct
0.643 0.143 0.000
0.857 0.643 0.000
0.143 0.357 0.000
0.357 0.857 0.000
0.500 0.500 0.000
0.000 0.000 0.000
0.828 0.328 0.500
0.172 0.672 0.500
0.672 0.828 0.500
0.328 0.172 0.500